The following is a DFT calculation (PBE) of an optimized crystal structure of P2PtPbS.

Results
Calculated density = 6.3 g cm⁻³
E above lowest polymorph = 0.00 eV/f.u.
Formation energy without anion corrections = 45.3 kJ/mol of atoms

```
P2PtPbS
1.0
4.672 0.000 0.000
0.000 4.672 0.000
0.000 0.000 5.959
P Pt Pb S
2 1 1 1
Cartesian
0.000 2.336 0.000 P
2.336 0.000 0.000 P
0.000 0.000 0.000 Pt
2.336 2.336 2.980 Pb
0.000 0.000 2.980 S
```

The following is a DFT calculation (PBE) of an optimized crystal structure of P2PtPbS.

Results
Calculated density = 6.2 g cm⁻³
E above lowest polymorph = 6.20 eV/f.u.
Formation energy without anion corrections = 165.0 kJ/mol of atoms

```
P2PtPbS
1.0
5.142 0.000 0.000
0.000 5.142 0.000
0.000 0.000 4.989
P Pt Pb S
2 1 1 1
Cartesian
0.000 2.571 0.000 P
2.571 0.000 0.000 P
0.000 0.000 2.495 Pt
2.571 2.571 0.000 Pb
2.571 2.571 2.495 S
```

The following is a DFT calculation (PBE) of an optimized crystal structure of ScP2PtPb.

Results
Calculated density = 6.5 g cm⁻³
Energy relative to the elements = 4.5 eV/f.u.

```
ScP2PtPb
1.0
5.108 0.000 0.000
0.000 5.108 0.000
0.000 0.000 5.005
Sc P Pt Pb
1 2 1 1
Cartesian
0.000 0.000 0.000 Sc
0.000 2.554 2.503 P
2.554 0.000 2.503 P
2.554 2.554 0.000 Pt
2.554 2.554 2.503 Pb
```

The following is a DFT calculation (PBE) of an optimized crystal structure of PPtPb2Se.

Results
Calculated density = 7.9 g cm⁻³
Formation energy without anion corrections = 56.3 kJ/mol of atoms

```
PPtPb2Se
1.0
5.767 0.000 0.000
0.000 5.767 0.000
0.000 0.000 4.562
P Pt Pb Se
1 1 2 1
Cartesian
0.000 0.000 0.000 P
2.883 2.883 0.000 Pt
0.000 2.883 2.281 Pb
2.883 0.000 2.281 Pb
2.883 2.883 2.281 Se
```

no.,VASP energy (eV/atom),magnetic moment (μB per cell)
1,-4.470,0.00
2,-3.229,0.00
3,-4.480,0.00
4,-3.887,0.82